# 1
TbSm2Er7 after structural relaxation. Source: Alexandria via LeMat-Bulk, functional PBE.

Lattice parameters (Å, degrees): 14.659 14.659 3.503 90.00 90.00 154.67
Fractional coordinates of all 10 atoms:
Tb 0.000 0.000 0.000
Sm 0.291 0.709 0.500
Sm 0.709 0.291 0.500
Er 0.149 0.345 0.500
Er 0.185 0.815 0.000
Er 0.345 0.149 0.500
Er 0.500 0.500 0.500
Er 0.655 0.851 0.500
Er 0.815 0.185 0.000
Er 0.851 0.655 0.500

Properties
The formation energy comes out at 162 meV per atom. As for the energy above the most stable polymorph in this dataset: 142 meV/atom. The volume comes out at 32.2 A^3/atom.

# 2
U4As3 after structural relaxation. Source: Alexandria via LeMat-Bulk, functional PBE.

Lattice parameters (Å, degrees): 7.411 7.411 7.411 109.47 109.47 109.47
Fractional coordinates of all 14 atoms:
U 0.000 0.154 0.500
U 0.000 0.654 0.500
U 0.154 0.500 0.000
U 0.346 0.346 0.346
U 0.500 0.000 0.154
U 0.500 0.000 0.654
U 0.654 0.500 0.000
U 0.846 0.846 0.846
As 0.125 0.875 0.250
As 0.250 0.125 0.875
As 0.375 0.625 0.750
As 0.625 0.750 0.375
As 0.750 0.375 0.625
As 0.875 0.250 0.125

Properties
The formation energy comes out at -556 meV per atom. The volume comes out at 22.4 A^3/atom.

# 3
LaHf2In after structural relaxation. Source: Alexandria via LeMat-Bulk, functional PBE.

Lattice parameters (Å, degrees): 11.165 11.165 11.165 156.82 156.82 33.01
Fractional coordinates of all 8 atoms:
La 0.000 0.000 0.000
La 0.750 0.250 0.500
Hf 0.132 0.625 0.007
Hf 0.375 0.382 0.507
Hf 0.618 0.125 0.993
Hf 0.875 0.868 0.493
In 0.250 0.750 0.500
In 0.500 0.500 0.000

Properties
The formation energy comes out at 332 meV per atom. The volume comes out at 26.9 A^3/atom.

# 4
SrLi2Al9 after structural relaxation. Source: Alexandria via LeMat-Bulk, functional PBE.

Lattice parameters (Å, degrees): 9.269 9.269 9.269 35.40 35.40 35.40
Fractional coordinates of all 12 atoms:
Sr 0.000 0.000 0.000
Li 0.144 0.144 0.144
Li 0.856 0.856 0.856
Al 0.076 0.591 0.591
Al 0.335 0.335 0.335
Al 0.409 0.409 0.924
Al 0.409 0.924 0.409
Al 0.500 0.500 0.500
Al 0.591 0.076 0.591
Al 0.591 0.591 0.076
Al 0.665 0.665 0.665
Al 0.924 0.409 0.409

Properties
The formation energy comes out at -74 meV per atom. The volume comes out at 19.9 A^3/atom.

> The lowest volume belongs to which entry?

SrLi2Al9

> The lowest volume belongs to which entry?

SrLi2Al9

> Which value of volume does entry 3 give?

26.9 A^3/atom